Arrangement P

This record from Alexandria describes a relaxed structure of Dy4MgTl2. The functional is PBE.

a b c (Å): 5.2696 5.2696 25.2917
angles (deg): 90.00 90.00 120.00
Last column: nearest neighbours and their distance in Å.
Space group R-3m (No. 166, hexagonal axes)
Asymmetric unit:
Dy1 0.0000 0.0000 0.1155 x6  4 Tl 3.12-3.27, 3 Mg 3.31
Dy2 0.0000 0.0000 0.3692 x6  4 Tl 3.15-3.32, 1 Mg 3.31
Mg1 0.0000 0.0000 0.5000 x3  8 Dy 3.31, 6 Tl 3.63
Tl1 0.0000 0.0000 0.2447 x6  8 Dy 3.12-3.32

Arrangement Q

This record from Alexandria describes a relaxed structure of Dy4MgTl2. The functional is PBE.

a b c (Å): 7.4211 6.6130 8.8485
angles (deg): 90.00 110.03 90.00
Last column: nearest neighbours and their distance in Å.
Space group P2_1/m (No. 11)
Asymmetric unit:
Dy1 0.0137 0.2500 0.0156 x2  1 Mg 3.14, 2 Tl 3.16-3.39, 4 Dy 3.32-3.51
Dy2 0.1659 0.0037 0.7170 x4  4 Tl 3.17-3.47, 1 Mg 3.19, 3 Dy 3.26-3.51
Dy3 0.3182 0.7500 0.3813 x2  4 Tl 3.21-3.44, 1 Mg 3.31, 1 Dy 3.53
Mg1 0.4509 0.2500 0.2252 x2  2 Tl 2.85-2.96, 1 Dy 3.14
Tl1 0.2179 0.2500 0.4222 x2  1 Mg 2.85, 2 Dy 3.17
Tl2 0.4348 0.7500 0.0637 x2  1 Mg 2.96, 2 Dy 3.16-3.21

Ordering by calculated energy gives the sequence arrangement P, arrangement Q, with the first entry being the most stable.

Arrangement P

This record from Alexandria describes a relaxed structure of Dy2MgTl3. The functional is PBE.

a b c (Å): 3.6360 3.6360 11.8419
angles (deg): 90.00 90.00 90.00
Last column: nearest neighbours and their distance in Å.
Space group P4/mmm (No. 123)
Asymmetric unit:
Dy1 0.0000 0.0000 0.1768 x2  8 Tl 3.29-3.32, 4 Dy 3.64
Mg1 0.0000 0.0000 0.5000 x1  8 Tl 3.13
Tl1 0.5000 0.5000 0.0000 x1  8 Dy 3.32, 4 Tl 3.64
Tl2 0.5000 0.5000 0.3499 x2  4 Mg 3.13, 4 Dy 3.29

Arrangement Q

This record from Alexandria describes a relaxed structure of Dy2MgTl3. The functional is PBE.

a b c (Å): 7.0172 10.1479 17.6316
angles (deg): 90.00 90.00 90.00
Last column: nearest neighbours and their distance in Å.
Space group Fmmm (No. 69)
Asymmetric unit:
Dy1 0.2447 0.0000 0.0000 x8  10 Tl 3.40-3.48, 2 Dy 3.43-3.58, 2 Mg 3.45
Dy2 0.2500 0.2500 0.2500 x8  8 Tl 3.38-3.39, 4 Mg 3.41, 2 Dy 3.51
Mg1 0.0000 0.0000 0.3325 x8  3 Tl 2.84-2.85
Tl1 0.0000 0.0000 0.1713 x8  1 Mg 2.84, 2 Tl 3.02
Tl2 0.0000 0.2421 0.4143 x16  1 Mg 2.85, 2 Tl 3.02

Ordering by calculated energy gives the sequence arrangement P, arrangement Q, with the first entry being the most stable.